Arrangement a

The following is a PBE calculation of crystalline Pr5Tl at its relaxed geometry, from Alexandria via LeMat-Bulk.

Results
**N(E_F)**: 7.94 states/eV/f.u.

Lattice parameters (Å, degrees): 11.534 4.977 7.369 90.00 108.74 90.00
Space group C2/m (No. 12)
One atom of each set of equivalent atoms:
Pr: 0.000 0.000 0.000
Pr: 0.155 0.500 0.823
Pr: 0.177 0.500 0.339
Tl: 0.000 0.000 0.500

=====

Arrangement b

The following is a PBE calculation of crystalline Pr5Tl at its relaxed geometry, from Alexandria via LeMat-Bulk.

Results
**N(E_F)**: 6.86 states/eV/f.u.

Lattice parameters (Å, degrees): 5.927 11.269 5.999 90.00 90.00 90.00
Space group Cmmm (No. 65)
One atom of each set of equivalent atoms:
Pr: 0.000 0.000 0.000
Pr: 0.000 0.156 0.500
Pr: 0.000 0.343 0.000
Tl: 0.000 0.500 0.500

=====

Arrangement c

The following is a PBE calculation of crystalline Pr5Tl at its relaxed geometry, from Alexandria via LeMat-Bulk.

Results
**N(E_F)**: 8.07 states/eV/f.u.

Lattice parameters (Å, degrees): 5.033 15.862 5.048 90.00 90.00 90.00
Space group Cmmm (No. 65)
One atom of each set of equivalent atoms:
Pr: 0.000 0.000 0.000
Pr: 0.000 0.163 0.500
Pr: 0.000 0.338 0.000
Tl: 0.000 0.500 0.500

=====

Result of the stability comparison: arrangement b is the least stable of them.

=====

Arrangement a

The following is a PBE calculation of crystalline PrTl4 at its relaxed geometry, from Alexandria via LeMat-Bulk.

Results
**N(E_F)**: 5.89 states/eV/f.u.

Lattice parameters (Å, degrees): 6.109 6.109 6.109 90.00 90.00 90.00
Space group Pm-3m (No. 221)
One atom of each set of equivalent atoms:
Pr: 0.000 0.000 0.000
Tl: 0.000 0.000 0.500
Tl: 0.500 0.500 0.500

=====

Arrangement b

The following is a PBE calculation of crystalline PrTl4 at its relaxed geometry, from Alexandria via LeMat-Bulk.

Results
**N(E_F)**: 2.29 states/eV/f.u.

Lattice parameters (Å, degrees): 5.154 6.802 16.773 90.00 90.00 90.00
Space group Imma (No. 74)
One atom of each set of equivalent atoms:
Pr: 0.000 0.250 0.090
Tl: 0.000 0.000 0.500
Tl: 0.000 0.009 0.303
Tl: 0.000 0.250 0.888

=====

Result of the stability comparison: arrangement a is the least stable of them.

=====

Arrangement a

The following is a PBE calculation of crystalline Pr4Tm5Tl at its relaxed geometry, from Alexandria via LeMat-Bulk.

Results
**N(E_F)**: 14.71 states/eV/f.u.

Lattice parameters (Å, degrees): 10.774 10.774 5.789 90.00 90.00 90.00
Space group I4mm (No. 107)
One atom of each set of equivalent atoms:
Pr: 0.000 0.313 0.000
Tm: 0.000 0.000 0.201
Tm: 0.184 0.184 0.495
Tl: 0.000 0.000 0.717

=====

Arrangement b

The following is a PBE calculation of crystalline Pr4Tm5Tl at its relaxed geometry, from Alexandria via LeMat-Bulk.

Results
**N(E_F)**: 12.02 states/eV/f.u.

Lattice parameters (Å, degrees): 3.634 3.634 24.116 90.00 90.00 90.00
Space group P4/mmm (No. 123)
One atom of each set of equivalent atoms:
Pr: 0.000 0.000 0.103
Pr: 0.000 0.000 0.313
Tm: 0.500 0.500 0.000
Tm: 0.500 0.500 0.207
Tm: 0.500 0.500 0.416
Tl: 0.000 0.000 0.500

=====

Result of the stability comparison: arrangement a is the least stable of them.